# NbTe2I8 | Alexandria via LeMat-Bulk | GGA-PBE | relaxed
data_NbTe2I8
_space_group_name_H-M_alt 'P 1'
_space_group_IT_number 1
_cell_length_a 8.800
_cell_length_b 8.800
_cell_length_c 7.816
_cell_angle_alpha 93.61
_cell_angle_beta 93.61
_cell_angle_gamma 61.36
loop_
_space_group_symop_operation_xyz
'x,y,z'
loop_
_atom_site_label
_atom_site_type_symbol
_atom_site_fract_x
_atom_site_fract_y
_atom_site_fract_z
Nb1 Nb 0.000 0.000 0.000
Te1 Te 0.249 0.249 0.808
Te2 Te 0.751 0.751 0.192
I1 I 0.127 0.688 0.176
I2 I 0.132 0.132 0.259
I3 I 0.312 0.873 0.824
I4 I 0.418 0.418 0.697
I5 I 0.582 0.582 0.303
I6 I 0.688 0.127 0.176
I7 I 0.868 0.868 0.741
I8 I 0.873 0.312 0.824
# N(E_F) = 6.9 states/eV/f.u.
# spin magnetization = 0.0 μB/f.u.
# density = 4.3 g/cm³
# symmetry = C2/m, No. 12



# Nb2Te6I | Alexandria via LeMat-Bulk | GGA-PBE | relaxed
data_Nb2Te6I
_space_group_name_H-M_alt 'P 1'
_space_group_IT_number 1
_cell_length_a 9.351
_cell_length_b 14.158
_cell_length_c 9.809
_cell_angle_alpha 90.00
_cell_angle_beta 112.81
_cell_angle_gamma 90.00
loop_
_space_group_symop_operation_xyz
'x,y,z'
loop_
_atom_site_label
_atom_site_type_symbol
_atom_site_fract_x
_atom_site_fract_y
_atom_site_fract_z
Nb1 Nb 0.025 0.025 0.369
Nb2 Nb 0.025 0.475 0.869
Nb3 Nb 0.324 0.508 0.370
Nb4 Nb 0.324 0.992 0.870
Nb5 Nb 0.676 0.008 0.130
Nb6 Nb 0.676 0.492 0.630
Nb7 Nb 0.975 0.525 0.131
Nb8 Nb 0.975 0.975 0.631
Te1 Te 0.045 0.064 0.909
Te2 Te 0.045 0.436 0.409
Te3 Te 0.125 0.685 0.271
Te4 Te 0.125 0.815 0.771
Te5 Te 0.151 0.136 0.643
Te6 Te 0.151 0.364 0.143
Te7 Te 0.258 0.598 0.090
Te8 Te 0.258 0.902 0.590
Te9 Te 0.415 0.583 0.662
Te10 Te 0.415 0.917 0.162
Te11 Te 0.457 0.160 0.026
Te12 Te 0.457 0.340 0.526
Te13 Te 0.543 0.660 0.474
Te14 Te 0.543 0.840 0.974
Te15 Te 0.585 0.083 0.838
Te16 Te 0.585 0.417 0.338
Te17 Te 0.742 0.098 0.410
Te18 Te 0.742 0.402 0.910
Te19 Te 0.849 0.636 0.857
Te20 Te 0.849 0.864 0.357
Te21 Te 0.875 0.185 0.229
Te22 Te 0.875 0.315 0.729
Te23 Te 0.955 0.564 0.591
Te24 Te 0.955 0.936 0.091
I1 I 0.313 0.082 0.349
I2 I 0.313 0.418 0.849
I3 I 0.687 0.582 0.151
I4 I 0.687 0.918 0.651
# spin magnetization = 0.0 μB/f.u.
# density = 6.0 g/cm³
# symmetry = P2_1/c, No. 14



| no. | E_form (uncorrected) (meV/atom) |
| --- | --- |
| 1 | -96.4 |
| 2 | -386.5 |